[1]
Here is SrTiGeO5 after structural relaxation from the Alexandria database. Energies are from PBE.

## Properties
SG: P2_1/c (14)
Formation energy without anion corrections in kJ/mol of formula units: -2014.2
N(E_F) in states/eV/cell: 0.00
Final energy in eV/atom: -7.483

Unit cell a=9.166 b=6.902 c=7.354 alpha=65.95 beta=90.00 gamma=90.00
Element x y z (fractional)
Sr 0.922 0.253 0.255
Sr 0.578 0.253 0.755
Sr 0.078 0.747 0.745
Sr 0.422 0.747 0.245
Ti 0.247 0.249 0.016
Ti 0.253 0.249 0.516
Ti 0.747 0.751 0.484
Ti 0.753 0.751 0.984
Ge 0.564 0.249 0.252
Ge 0.436 0.751 0.748
Ge 0.064 0.751 0.248
Ge 0.936 0.249 0.752
O 0.816 0.445 0.587
O 0.543 0.655 0.600
O 0.316 0.555 0.913
O 0.686 0.054 0.413
O 0.186 0.946 0.087
O 0.308 0.251 0.749
O 0.808 0.749 0.751
O 0.043 0.345 0.900
O 0.957 0.655 0.100
O 0.184 0.555 0.413
O 0.192 0.251 0.249
O 0.455 0.152 0.106
O 0.814 0.054 0.913
O 0.955 0.848 0.394
O 0.457 0.345 0.400
O 0.692 0.749 0.251
O 0.045 0.152 0.606
O 0.314 0.946 0.587
O 0.545 0.848 0.894
O 0.684 0.445 0.087



[2]
Here is AcGaGeO6 after structural relaxation from the Alexandria database. Energies are from PBE.

## Properties
SG: P312 (149)
Formation energy without anion corrections in kJ/mol of formula units: -1597.5
N(E_F) in states/eV/cell: 6.06
Final energy in eV/atom: -6.451

Unit cell a=5.158 b=5.158 c=5.377 alpha=90.00 beta=90.00 gamma=59.99
Element x y z (fractional)
Ac 0.000 0.000 0.000
Ga 0.333 0.333 0.500
Ge 0.667 0.667 0.500
O 0.987 0.386 0.296
O 0.386 0.987 0.704
O 0.626 0.386 0.704
O 0.987 0.627 0.704
O 0.386 0.626 0.296
O 0.626 0.987 0.296



[3]
Here is MgAlW2 after structural relaxation from the Alexandria database. Energies are from PBE.

## Properties
Distance to the lowest polymorph of the same formula in kJ per mole of atoms: 7.5
SG: Pmmm (47)
N(E_F) in states/eV/cell: 2.37
DFT formation energy in kJ per mole of atoms: 22.2
Final energy in eV/atom: -7.581

Unit cell a=3.337 b=4.342 c=4.469 alpha=90.00 beta=90.00 gamma=90.00
Element x y z (fractional)
Al 0.500 0.000 0.500
Mg 0.000 0.500 0.500
W 0.000 0.000 0.000
W 0.500 0.500 0.000



[4]
Here is ZrAlHg2Br after structural relaxation from the Alexandria database. Energies are from PBE.

## Properties
SG: P4/mmm (123)
Formation energy without anion corrections in kJ/mol of formula units: 390.0
N(E_F) in states/eV/cell: 5.62
Final energy in eV/atom: -2.105

Unit cell a=5.989 b=5.060 c=5.989 alpha=90.00 beta=90.00 gamma=90.00
Element x y z (fractional)
Br 0.000 0.000 0.000
Hg 0.000 0.000 0.500
Hg 0.500 0.000 0.000
Zr 0.000 0.500 0.000
Al 0.500 0.500 0.500



[5]
Here is HfMgAgCl2 after structural relaxation from the Alexandria database. Energies are from PBE.

## Properties
SG: P4/mmm (123)
Formation energy without anion corrections in kJ/mol of formula units: -163.8
N(E_F) in states/eV/cell: 3.05
Final energy in eV/atom: -3.958

Unit cell a=4.870 b=5.767 c=4.870 alpha=90.00 beta=90.00 gamma=90.00
Element x y z (fractional)
Mg 0.500 0.500 0.500
Hf 0.000 0.000 0.000
Ag 0.000 0.500 0.000
Cl 0.000 0.000 0.500
Cl 0.500 0.000 0.000



[6]
Here is SrLi2CeF8 after structural relaxation from the Alexandria database. Energies are from PBE.

## Properties
SG: P-1 (2)
Formation energy without anion corrections in kJ/mol of formula units: -4052.7
N(E_F) in states/eV/cell: 0.00
Final energy in eV/atom: -5.701

Unit cell a=3.997 b=5.426 c=7.983 alpha=89.89 beta=89.95 gamma=77.64
Element x y z (fractional)
Sr 0.000 0.000 0.500
Li 0.499 0.499 0.687
Li 0.501 0.501 0.313
Ce 0.000 0.000 0.000
F 0.121 0.754 0.229
F 0.599 0.768 0.001
F 0.878 0.246 0.229
F 0.879 0.246 0.771
F 0.401 0.232 0.999
F 0.122 0.754 0.771
F 0.587 0.720 0.500
F 0.413 0.280 0.500



[7]
Here is La2Pr2Nd4Er after structural relaxation from the Alexandria database. Energies are from PBE.

## Properties
SG: C2/m (12)
N(E_F) in states/eV/cell: 12.70
DFT formation energy in kJ per mole of atoms: 1.2
Final energy in eV/atom: -4.770

Unit cell a=3.718 b=9.807 c=9.890 alpha=115.03 beta=90.00 gamma=100.93
Element x y z (fractional)
La 0.335 0.671 0.000
La 0.665 0.329 0.000
Pr 0.853 0.706 0.333
Pr 0.147 0.294 0.667
Nd 0.815 0.630 0.667
Nd 0.185 0.370 0.333
Nd 0.518 0.037 0.329
Nd 0.482 0.963 0.671
Er 0.000 0.000 0.000



[8]
Here is Cu2SeCl3 after structural relaxation from the Alexandria database. Energies are from PBE.

## Properties
SG: C2/m (12)
Formation energy without anion corrections in kJ/mol of formula units: -212.2
N(E_F) in states/eV/cell: 8.61
Final energy in eV/atom: -3.236

Unit cell a=3.787 b=6.497 c=11.911 alpha=85.99 beta=90.00 gamma=106.95
Element x y z (fractional)
Cu 0.729 0.457 0.377
Cu 0.271 0.543 0.623
Cu 0.991 0.982 0.185
Cu 0.009 0.018 0.815
Se 0.555 0.110 0.073
Se 0.445 0.890 0.927
Cl 0.900 0.799 0.673
Cl 0.810 0.621 0.199
Cl 0.653 0.306 0.558
Cl 0.100 0.201 0.327
Cl 0.347 0.694 0.442
Cl 0.190 0.379 0.801



[9]
Here is UCuBiO6 after structural relaxation from the Alexandria database. Energies are from PBE.

## Properties
SG: P-31c (163)
Formation energy without anion corrections in kJ/mol of formula units: -1546.5
N(E_F) in states/eV/cell: 5.74
Final energy in eV/atom: -7.227

Unit cell a=5.352 b=5.352 c=10.170 alpha=90.00 beta=90.00 gamma=120.00
Element x y z (fractional)
U 0.667 0.333 0.250
U 0.333 0.667 0.750
Cu 0.333 0.667 0.250
Cu 0.667 0.333 0.750
Bi 0.000 0.000 0.000
Bi 0.000 0.000 0.500
O 0.642 0.648 0.138
O 0.006 0.358 0.138
O 0.358 0.006 0.638
O 0.994 0.642 0.862
O 0.352 0.358 0.362
O 0.006 0.648 0.362
O 0.648 0.006 0.862
O 0.642 0.994 0.362
O 0.994 0.352 0.638
O 0.352 0.994 0.138
O 0.648 0.642 0.638
O 0.358 0.352 0.862



[10]
Here is Sm2Dy3Er6Sc after structural relaxation from the Alexandria database. Energies are from PBE.

## Properties
SG: C2/m (12)
N(E_F) in states/eV/cell: 15.75
DFT formation energy in kJ per mole of atoms: 2.6
Final energy in eV/atom: -4.719

Unit cell a=6.083 b=6.083 c=11.657 alpha=94.98 beta=94.98 gamma=119.97
Element x y z (fractional)
Sm 0.334 0.666 0.000
Sm 0.666 0.334 0.000
Dy 0.166 0.834 0.500
Dy 0.834 0.166 0.500
Dy 0.500 0.500 0.500
Er 0.917 0.586 0.751
Er 0.752 0.752 0.250
Er 0.083 0.414 0.249
Er 0.586 0.917 0.751
Er 0.248 0.248 0.750
Er 0.414 0.083 0.249
Sc 0.000 0.000 0.000



[11]
Here is PrNpP2Rh5 after structural relaxation from the Alexandria database. Energies are from PBE.

## Properties
SG: P4/mmm (123)
N(E_F) in states/eV/cell: 9.73
DFT formation energy in kJ per mole of atoms: -47.7
Final energy in eV/atom: -7.750

Unit cell a=4.061 b=4.061 c=10.680 alpha=90.00 beta=90.00 gamma=90.00
Element x y z (fractional)
Pr 0.500 0.500 0.500
Np 0.000 0.000 0.000
P 0.000 0.000 0.712
P 0.000 0.000 0.288
Rh 0.000 0.000 0.500
Rh 0.000 0.500 0.813
Rh 0.500 0.000 0.187
Rh 0.000 0.500 0.187
Rh 0.500 0.000 0.813



[12]
Here is Sm4Mg3Pd after structural relaxation from the Alexandria database. Energies are from PBE.

## Properties
SG: P4/mmm (123)
N(E_F) in states/eV/cell: 6.62
DFT formation energy in kJ per mole of atoms: -26.1
Final energy in eV/atom: -3.877

Unit cell a=3.773 b=3.773 c=15.093 alpha=90.00 beta=90.00 gamma=90.00
Element x y z (fractional)
Mg 0.500 0.500 0.243
Mg 0.500 0.500 0.500
Mg 0.500 0.500 0.757
Pd 0.500 0.500 0.000
Sm 0.000 0.000 0.890
Sm 0.000 0.000 0.110
Sm 0.000 0.000 0.370
Sm 0.000 0.000 0.630



Question: Which of these has the lowest final energy?
Answer: PrNpP2Rh5